A relaxed structure of BiPS4. Source: Alexandria, functional PBE.

Results
* total moment: 0.00 μB per cell
* E_form (uncorrected): -0.2017 eV/atom
* energy above the lowest structure with this stoichiometry: 0.094 eV/atom

The structure in CIF format:
```
data_BiPS4
_cell_length_a 6.277
_cell_length_b 6.277
_cell_length_c 8.513
_cell_angle_alpha 90.00
_cell_angle_beta 90.00
_cell_angle_gamma 90.00
_symmetry_space_group_name_H-M 'I -4'
_symmetry_Int_Tables_number 82
_symmetry_space_group_name_Hall 'I -4'
loop_
_atom_site_label
_atom_site_fract_x
_atom_site_fract_y
_atom_site_fract_z
_atom_site_occupancy
Bi1 0.000 0.000 0.000 1
P1 0.000 0.500 0.750 1
S1 0.161 0.729 0.624 1
```



A relaxed structure of Na2MnTl3Cl6. Source: Alexandria, functional PBE.

Results
* total moment: 8.85 μB per cell
* E_form (uncorrected): -1.1473 eV/atom

The structure in CIF format:
```
data_Na2MnTl3Cl6
_cell_length_a 6.766
_cell_length_b 11.812
_cell_length_c 8.435
_cell_angle_alpha 90.00
_cell_angle_beta 107.05
_cell_angle_gamma 90.00
_symmetry_space_group_name_H-M 'C 1 2/m 1'
_symmetry_Int_Tables_number 12
_symmetry_space_group_name_Hall '-C 2y'
loop_
_atom_site_label
_atom_site_fract_x
_atom_site_fract_y
_atom_site_fract_z
_atom_site_occupancy
Na1 0.000 0.168 0.000 1
Mn1 0.000 0.500 0.000 1
Tl1 0.000 0.000 0.500 1
Tl2 0.000 0.340 0.500 1
Cl1 0.219 0.347 0.187 1
Cl2 0.239 0.500 0.818 1
```



A relaxed structure of V4Re2W5. Source: Alexandria, functional PBE.

Results
* total moment: 0.00 μB per cell
* energy above the lowest structure with this stoichiometry: 0.000 eV/atom

The structure in CIF format:
```
data_V4Re2W5
_cell_length_a 2.682
_cell_length_b 6.819
_cell_length_c 9.258
_cell_angle_alpha 92.22
_cell_angle_beta 95.31
_cell_angle_gamma 97.28
_symmetry_space_group_name_H-M 'P -1'
_symmetry_Int_Tables_number 2
_symmetry_space_group_name_Hall '-P 1'
loop_
_atom_site_label
_atom_site_fract_x
_atom_site_fract_y
_atom_site_fract_z
_atom_site_occupancy
V1 0.075 0.410 0.228 1
V2 0.175 0.227 0.680 1
Re1 0.338 0.871 0.594 1
W1 0.000 0.500 0.500 1
W2 0.228 0.047 0.139 1
W3 0.405 0.681 0.047 1
```



A relaxed structure of U2Pd2Pt5. Source: Alexandria, functional PBE.

Results
* total moment: 11.47 μB per cell

The structure in CIF format:
```
data_U2Pd2Pt5
_cell_length_a 16.902
_cell_length_b 5.094
_cell_length_c 7.601
_cell_angle_alpha 90.00
_cell_angle_beta 90.00
_cell_angle_gamma 90.00
_symmetry_space_group_name_H-M 'I m a 2'
_symmetry_Int_Tables_number 46
_symmetry_space_group_name_Hall 'I 2 -2a'
loop_
_atom_site_label
_atom_site_fract_x
_atom_site_fract_y
_atom_site_fract_z
_atom_site_occupancy
U1 0.000 0.000 0.000 1
U2 0.250 0.106 0.380 1
Pd1 0.092 0.052 0.688 1
Pt1 0.080 0.549 0.837 1
Pt2 0.162 0.542 0.526 1
Pt3 0.250 0.608 0.222 1
```



A relaxed structure of Sc3Te3S. Source: Alexandria, functional PBE.

Results
* total moment: 0.00 μB per cell
* E_form (uncorrected): -1.3488 eV/atom
* energy above the lowest structure with this stoichiometry: 0.000 eV/atom

The structure in CIF format:
```
data_Sc3Te3S
_cell_length_a 8.087
_cell_length_b 3.947
_cell_length_c 11.269
_cell_angle_alpha 90.00
_cell_angle_beta 90.27
_cell_angle_gamma 90.00
_symmetry_space_group_name_H-M 'P 1 21/m 1'
_symmetry_Int_Tables_number 11
_symmetry_space_group_name_Hall '-P 2yb'
loop_
_atom_site_label
_atom_site_fract_x
_atom_site_fract_y
_atom_site_fract_z
_atom_site_occupancy
Sc1 0.106 0.250 0.117 1
Sc2 0.123 0.250 0.635 1
Sc3 0.343 0.750 0.875 1
Te1 0.140 0.250 0.372 1
Te2 0.377 0.750 0.131 1
Te3 0.378 0.750 0.628 1
S1 0.118 0.250 0.880 1
```



A relaxed structure of CaTa2Re. Source: Alexandria, functional PBE.

Results
* total moment: 0.00 μB per cell
* energy above the lowest structure with this stoichiometry: 0.000 eV/atom

The structure in CIF format:
```
data_CaTa2Re
_cell_length_a 3.271
_cell_length_b 4.804
_cell_length_c 9.844
_cell_angle_alpha 90.00
_cell_angle_beta 90.00
_cell_angle_gamma 90.00
_symmetry_space_group_name_H-M 'C m m 2'
_symmetry_Int_Tables_number 35
_symmetry_space_group_name_Hall 'C 2 -2'
loop_
_atom_site_label
_atom_site_fract_x
_atom_site_fract_y
_atom_site_fract_z
_atom_site_occupancy
Ca1 0.000 0.000 0.000 1
Ta1 0.000 0.000 0.466 1
Ta2 0.000 0.500 0.703 1
Re1 0.000 0.500 0.255 1
```



A relaxed structure of Nd2ScHg2. Source: Alexandria, functional PBE.

Results
* total moment: 0.00 μB per cell

The structure in CIF format:
```
data_Nd2ScHg2
_cell_length_a 3.864
_cell_length_b 7.192
_cell_length_c 10.164
_cell_angle_alpha 90.00
_cell_angle_beta 90.00
_cell_angle_gamma 90.00
_symmetry_space_group_name_H-M 'I m m m'
_symmetry_Int_Tables_number 71
_symmetry_space_group_name_Hall '-I 2 2'
loop_
_atom_site_label
_atom_site_fract_x
_atom_site_fract_y
_atom_site_fract_z
_atom_site_occupancy
Nd1 0.000 0.000 0.217 1
Sc1 0.000 0.500 0.000 1
Hg1 0.000 0.291 0.500 1
```



A relaxed structure of NaGe3Cl. Source: Alexandria, functional PBE.

Results
* total moment: 0.00 μB per cell
* E_form (uncorrected): 0.9376 eV/atom
* energy above the lowest structure with this stoichiometry: 0.404 eV/atom

The structure in CIF format:
```
data_NaGe3Cl
_cell_length_a 5.197
_cell_length_b 5.197
_cell_length_c 5.197
_cell_angle_alpha 90.00
_cell_angle_beta 90.00
_cell_angle_gamma 90.00
_symmetry_space_group_name_H-M 'P m -3 m'
_symmetry_Int_Tables_number 221
_symmetry_space_group_name_Hall '-P 4 2 3'
loop_
_atom_site_label
_atom_site_fract_x
_atom_site_fract_y
_atom_site_fract_z
_atom_site_occupancy
Na1 0.000 0.000 0.000 1
Ge1 0.000 0.000 0.500 1
Cl1 0.500 0.500 0.500 1
```



A relaxed structure of PuTh7. Source: Alexandria, functional PBE.

Results
* total moment: 20.61 μB per cell

The structure in CIF format:
```
data_PuTh7
_cell_length_a 10.007
_cell_length_b 10.007
_cell_length_c 10.007
_cell_angle_alpha 90.00
_cell_angle_beta 90.00
_cell_angle_gamma 90.00
_symmetry_space_group_name_H-M 'F m -3 m'
_symmetry_Int_Tables_number 225
_symmetry_space_group_name_Hall '-F 4 2 3'
loop_
_atom_site_label
_atom_site_fract_x
_atom_site_fract_y
_atom_site_fract_z
_atom_site_occupancy
Pu1 0.000 0.000 0.000 1
Th1 0.000 0.000 0.500 1
Th2 0.000 0.250 0.250 1
```



A relaxed structure of Y4Tm2S9. Source: Alexandria, functional PBE.

Results
* total moment: 0.00 μB per cell
* E_form (uncorrected): -2.0641 eV/atom

The structure in CIF format:
```
data_Y4Tm2S9
_cell_length_a 6.8807
_cell_length_b 6.8807
_cell_length_c 18.4760
_cell_angle_alpha 90.00
_cell_angle_beta 90.00
_cell_angle_gamma 120.00
_symmetry_space_group_name_H-M 'P -3 c 1'
_symmetry_Int_Tables_number 165
_symmetry_space_group_name_Hall '-P 3 2"c'
loop_
_atom_site_label
_atom_site_fract_x
_atom_site_fract_y
_atom_site_fract_z
_atom_site_occupancy
Y1 0.3333 0.6667 0.1836 1
Y2 0.3333 0.6667 0.4825 1
Tm1 0.0000 0.0000 0.1509 1
S1 0.0000 0.2982 0.2500 1
S2 0.0330 0.3608 0.5834 1
```



A relaxed structure of HoInRh2. Source: Alexandria, functional PBE.

Results
* total moment: 0.00 μB per cell

The structure in CIF format:
```
data_HoInRh2
_cell_length_a 4.521
_cell_length_b 4.521
_cell_length_c 3.534
_cell_angle_alpha 90.00
_cell_angle_beta 90.00
_cell_angle_gamma 90.00
_symmetry_space_group_name_H-M 'P 4/m m m'
_symmetry_Int_Tables_number 123
_symmetry_space_group_name_Hall '-P 4 2'
loop_
_atom_site_label
_atom_site_fract_x
_atom_site_fract_y
_atom_site_fract_z
_atom_site_occupancy
Ho1 0.000 0.000 0.000 1
In1 0.500 0.500 0.000 1
Rh1 0.000 0.500 0.500 1
```



A relaxed structure of Na4Cd3Au. Source: Alexandria, functional PBE.

Results
* total moment: 0.00 μB per cell

The structure in CIF format:
```
data_Na4Cd3Au
_cell_length_a 3.473
_cell_length_b 4.943
_cell_length_c 12.140
_cell_angle_alpha 90.00
_cell_angle_beta 90.00
_cell_angle_gamma 90.00
_symmetry_space_group_name_H-M 'P m m 2'
_symmetry_Int_Tables_number 25
_symmetry_space_group_name_Hall 'P 2 -2'
loop_
_atom_site_label
_atom_site_fract_x
_atom_site_fract_y
_atom_site_fract_z
_atom_site_occupancy
Na1 0.000 0.000 0.000 1
Na2 0.000 0.500 0.304 1
Na3 0.500 0.000 0.464 1
Na4 0.500 0.500 0.821 1
Cd1 0.000 0.000 0.714 1
Cd2 0.000 0.500 0.578 1
Cd3 0.500 0.500 0.087 1
Au1 0.500 0.000 0.213 1
```



Number 1: VASP energy -4.502 eV per atom, calculated density 3.6 g cm⁻³. Number 2: VASP energy -3.646 eV per atom, calculated density 4.8 g cm⁻³. Number 3: VASP energy -11.479 eV per atom, calculated density 14.9 g cm⁻³. Number 4: VASP energy -7.555 eV per atom, calculated density 16.9 g cm⁻³. Number 5: VASP energy -5.998 eV per atom, calculated density 5.1 g cm⁻³. Number 6: VASP energy -9.181 eV per atom, calculated density 12.6 g cm⁻³. Number 7: VASP energy -3.605 eV per atom, calculated density 8.6 g cm⁻³. Number 8: VASP energy -2.466 eV per atom, calculated density 3.3 g cm⁻³. Number 9: VASP energy -8.256 eV per atom, calculated density 12.4 g cm⁻³. Number 10: VASP energy -6.861 eV per atom, calculated density 4.3 g cm⁻³. Number 11: VASP energy -6.292 eV per atom, calculated density 11.2 g cm⁻³. Number 12: VASP energy -1.547 eV per atom, calculated density 5.0 g cm⁻³.